# 1
Computed, not measured: crystalline Pr8AlAg2 at its relaxed geometry at the PBE level of DFT.

Structure (POSCAR):
```
Pr8AlAg2
1.0
8.336 -2.734 0.000
8.336 2.734 0.000
-4.428 0.000 7.510
Pr Al Ag
8 1 2
Direct
0.072 0.072 0.222 Pr
0.135 0.135 0.691 Pr
0.319 0.319 0.537 Pr
0.406 0.406 0.055 Pr
0.594 0.594 0.945 Pr
0.681 0.681 0.463 Pr
0.865 0.865 0.309 Pr
0.928 0.928 0.778 Pr
0.500 0.500 0.500 Al
0.227 0.227 0.113 Ag
0.773 0.773 0.887 Ag
```

Properties
As for the formation energy: -0.120 eV per atom.

***

# 2
Computed, not measured: crystalline Cu2TcIr at its relaxed geometry at the PBE level of DFT.

Structure (POSCAR):
```
Cu2TcIr
1.0
4.407 -1.346 0.000
4.407 1.346 0.000
-0.817 0.000 4.550
Cu Tc Ir
2 1 1
Direct
0.250 0.250 0.250 Cu
0.750 0.750 0.750 Cu
0.000 0.000 0.500 Tc
0.500 0.500 0.000 Ir
```

Properties
The energy relative to the lowest polymorph listed for this composition comes out at 131.8 meV/atom. As for the formation energy: 0.166 eV per atom.

***

# 3
Computed, not measured: crystalline LiCa2TlO4 at its relaxed geometry at the PBE level of DFT.

Structure (POSCAR):
```
LiCa2TlO4
1.0
5.614 0.000 0.000
0.000 3.469 0.000
-1.619 0.000 5.493
Li Ca Tl O
1 2 1 4
Direct
0.000 0.000 0.000 Li
0.500 0.000 0.500 Ca
0.500 0.500 0.000 Ca
0.000 0.500 0.500 Tl
0.248 0.000 0.765 O
0.253 0.500 0.268 O
0.747 0.500 0.732 O
0.752 0.000 0.235 O
```

Properties
As for the formation energy from raw total energies: -2.026 eV per atom.

***

| no. | final energy (eV per atom) |
| --- | --- |
| 1 | -4.4544 |
| 2 | -6.6885 |
| 3 | -5.5402 |